Entry 1:
DFT (PBE) results for an optimized crystal structure of Ho3Al3Ni2Ir.

- Size of the total moment: 0.001 μB/f.u.
- Space group: No. 189
- DFT total energy: -51.3 eV/f.u.

Cell: 6.989 6.989 3.929 Å, 90.00 90.00 120.00°
Positions (direct):
1 Ho 0.000 0.419 0.000
2 Ho 0.419 0.000 0.000
3 Ho 0.581 0.581 0.000
4 Al 0.000 0.758 0.500
5 Al 0.242 0.242 0.500
6 Al 0.758 0.000 0.500
7 Ni 0.333 0.667 0.500
8 Ni 0.667 0.333 0.500
9 Ir 0.000 0.000 0.000

Entry 2:
DFT (PBE) results for an optimized crystal structure of Ho2AlNiIr.

- Size of the total moment: 0.002 μB/f.u.
- Space group: No. 44
- DFT total energy: -31.2 eV/f.u.

Cell: 5.451 5.451 5.451 Å, 135.34 78.93 118.73°
Positions (direct):
1 Ho 0.201 0.000 0.201
2 Ho 0.799 0.000 0.799
3 Al 0.499 0.499 0.000
4 Ni 0.248 0.748 0.500
5 Ir 0.777 0.277 0.500

Entry 3:
DFT (PBE) results for an optimized crystal structure of Ho2Al2Ir3Pd.

- Size of the total moment: 0.057 μB/f.u.
- Space group: No. 156
- DFT total energy: -54.9 eV/f.u.

Cell: 4.289 4.289 9.180 Å, 90.00 90.00 120.00°
Positions (direct):
1 Ho 0.000 0.000 0.000
2 Ho 0.333 0.667 0.506
3 Al 0.667 0.333 0.270
4 Al 0.667 0.333 0.757
5 Ir 0.000 0.000 0.342
6 Ir 0.000 0.000 0.667
7 Ir 0.333 0.667 0.835
8 Pd 0.333 0.667 0.169

Entry 4:
DFT (PBE) results for an optimized crystal structure of Ho2Al4IrPd.

- Size of the total moment: 0.002 μB/f.u.
- Space group: No. 38
- DFT total energy: -44.8 eV/f.u.

Cell: 7.063 5.498 5.498 Å, 45.14 90.00 90.00°
Positions (direct):
1 Ho 0.000 0.000 0.000
2 Ho 0.500 0.136 0.136
3 Al 0.197 0.714 0.714
4 Al 0.306 0.420 0.420
5 Al 0.694 0.420 0.420
6 Al 0.803 0.714 0.714
7 Ir 0.500 0.854 0.854
8 Pd 0.000 0.282 0.282

Entry 5:
DFT (PBE) results for an optimized crystal structure of PrHoAlIr2.

- Size of the total moment: 0.002 μB/f.u.
- Space group: No. 44
- DFT total energy: -35.0 eV/f.u.

Cell: 5.655 5.655 5.655 Å, 137.10 117.59 78.71°
Positions (direct):
1 Pr 0.000 0.000 0.000
2 Ho 0.603 0.603 0.000
3 Al 0.302 0.802 0.500
4 Ir 0.044 0.301 0.742
5 Ir 0.559 0.301 0.258

Entry 6:
DFT (PBE) results for an optimized crystal structure of Ho2Al4IrPt.

- Size of the total moment: 0.011 μB/f.u.
- Space group: No. 38
- DFT total energy: -46.4 eV/f.u.

Cell: 7.075 5.513 5.513 Å, 44.86 90.00 90.00°
Positions (direct):
1 Ho 0.000 0.000 0.000
2 Ho 0.500 0.135 0.135
3 Al 0.197 0.716 0.716
4 Al 0.305 0.419 0.419
5 Al 0.695 0.419 0.419
6 Al 0.803 0.716 0.716
7 Ir 0.500 0.854 0.854
8 Pt 0.000 0.283 0.283

Entry 7:
DFT (PBE) results for an optimized crystal structure of Ho2ScAl3Si2Ir.

- Size of the total moment: 0.004 μB/f.u.
- Space group: No. 38
- DFT total energy: -54.2 eV/f.u.

Cell: 4.168 6.778 6.778 Å, 119.45 90.00 90.00°
Positions (direct):
1 Ho 0.000 0.209 0.791
2 Ho 0.000 0.791 0.209
3 Sc 0.000 0.376 0.376
4 Al 0.500 0.025 0.025
5 Al 0.500 0.552 0.786
6 Al 0.500 0.786 0.552
7 Si 0.500 0.128 0.452
8 Si 0.500 0.452 0.128
9 Ir 0.000 0.778 0.778

Entry 8:
DFT (PBE) results for an optimized crystal structure of TbHo2Al3Si2Ir.

- Size of the total moment: 0.004 μB/f.u.
- Space group: No. 38
- DFT total energy: -52.5 eV/f.u.

Cell: 4.217 6.905 6.905 Å, 120.08 90.00 90.00°
Positions (direct):
1 Tb 0.000 0.000 0.000
2 Ho 0.000 0.168 0.584
3 Ho 0.000 0.584 0.168
4 Al 0.500 0.350 0.350
5 Al 0.500 0.583 0.817
6 Al 0.500 0.817 0.583
7 Si 0.500 0.251 0.916
8 Si 0.500 0.916 0.251
9 Ir 0.000 0.581 0.581

Entry 9:
DFT (PBE) results for an optimized crystal structure of Tb2HoAl3Si2Ir.

- Size of the total moment: 0.004 μB/f.u.
- Space group: No. 38
- DFT total energy: -52.5 eV/f.u.

Cell: 4.223 6.920 6.920 Å, 119.96 90.00 90.00°
Positions (direct):
1 Tb 0.000 0.208 0.792
2 Tb 0.000 0.792 0.208
3 Ho 0.000 0.377 0.377
4 Al 0.500 0.025 0.025
5 Al 0.500 0.559 0.791
6 Al 0.500 0.791 0.559
7 Si 0.500 0.126 0.458
8 Si 0.500 0.458 0.126
9 Ir 0.000 0.790 0.790

Entry 10:
DFT (PBE) results for an optimized crystal structure of Ho2TmAl3Si2Ir.

- Size of the total moment: 0.002 μB/f.u.
- Space group: No. 38
- DFT total energy: -52.4 eV/f.u.

Cell: 4.204 6.863 6.863 Å, 119.92 90.00 90.00°
Positions (direct):
1 Ho 0.000 0.208 0.792
2 Ho 0.000 0.792 0.208
3 Tm 0.000 0.376 0.376
4 Al 0.500 0.026 0.026
5 Al 0.500 0.557 0.791
6 Al 0.500 0.791 0.557
7 Si 0.500 0.126 0.457
8 Si 0.500 0.457 0.126
9 Ir 0.000 0.789 0.789

Entry 11:
DFT (PBE) results for an optimized crystal structure of TbHoAlIr2.

- Size of the total moment: 0.005 μB/f.u.
- Space group: No. 44
- DFT total energy: -35.4 eV/f.u.

Cell: 5.553 5.553 5.553 Å, 136.69 116.60 79.90°
Positions (direct):
1 Tb 0.000 0.000 0.000
2 Ho 0.604 0.604 0.000
3 Al 0.302 0.802 0.500
4 Ir 0.042 0.302 0.740
5 Ir 0.561 0.302 0.260

Entry 12:
DFT (PBE) results for an optimized crystal structure of HoTmAlIr2.

- Size of the total moment: 0.003 μB/f.u.
- Space group: No. 44
- DFT total energy: -35.4 eV/f.u.

Cell: 5.510 5.510 5.510 Å, 136.54 116.25 80.32°
Positions (direct):
1 Ho 0.000 0.000 0.000
2 Tm 0.396 0.396 0.000
3 Al 0.698 0.198 0.500
4 Ir 0.438 0.698 0.740
5 Ir 0.958 0.698 0.260

Density values (in g/cm3) by entry order: 8.85 10.42 12.11 8.08 11.24 9.03 7.01 7.81 7.70 8.01 11.99 12.38.